#w
DFT (PBE) results for a geometry-optimized NaCaN2 structure.

Fermi-level density of states   0.221 states/eV per atom
Mass density   2.8 Mg/m³
SG   Fm-3m, No. 225
Spin magnetization   0.743 μB per atom

```
NaCaN2
1.0
0.000 2.999 2.999
2.999 0.000 2.999
2.999 2.999 0.000
N Na Ca
2 1 1
direct
0.750 0.750 0.750 N
0.250 0.250 0.250 N
0.000 0.000 0.000 Na
0.500 0.500 0.500 Ca
```

#x
DFT (PBE) results for a geometry-optimized NaCaN2 structure.

Fermi-level density of states   0.445 states/eV per atom
Mass density   1.8 Mg/m³
SG   R-3m, No. 166
Spin magnetization   0.750 μB per atom

```
NaCaN2
1.0
2.235 0.000 6.470
-1.117 1.935 6.470
-1.117 -1.935 6.470
N Na Ca
2 1 1
direct
0.883 0.883 0.883 N
0.117 0.117 0.117 N
0.000 0.000 0.000 Na
0.500 0.500 0.500 Ca
```

Which of them is least stable? Easy: #x.

#w
DFT (PBE) results for a geometry-optimized NaCa8N4 structure.

Fermi-level density of states   0.390 states/eV per atom
Mass density   2.2 Mg/m³
SG   I4/m, No. 87
Spin magnetization   0.065 μB per atom

```
NaCa8N4
1.0
-1.928 2.997 0.656
-4.408 1.135 -8.136
-7.898 -3.629 3.370
N Ca Na
4 8 1
direct
0.669 0.177 0.486 N
0.331 0.823 0.514 N
0.845 0.486 0.823 N
0.155 0.514 0.177 N
0.664 0.379 0.294 Ca
0.958 0.706 0.379 Ca
0.343 0.360 0.953 Ca
0.296 0.047 0.360 Ca
0.657 0.640 0.047 Ca
0.042 0.294 0.621 Ca
0.336 0.621 0.706 Ca
0.704 0.953 0.640 Ca
0.000 0.000 0.000 Na
```

#x
DFT (PBE) results for a geometry-optimized NaCa8N4 structure.

Fermi-level density of states   0.469 states/eV per atom
Mass density   2.2 Mg/m³
SG   F-43m, No. 216
Spin magnetization   0.083 μB per atom

```
NaCa8N4
1.0
-3.215 0.441 -6.848
4.096 -1.448 -6.209
-1.281 -6.308 -3.998
Ca N Na
8 4 1
direct
0.602 0.602 0.195 Ca
0.602 0.602 0.602 Ca
0.141 0.141 0.141 Ca
0.602 0.195 0.602 Ca
0.195 0.602 0.602 Ca
0.141 0.577 0.141 Ca
0.141 0.141 0.577 Ca
0.577 0.141 0.141 Ca
0.376 0.376 0.376 N
0.376 0.376 0.873 N
0.376 0.873 0.376 N
0.873 0.376 0.376 N
0.750 0.750 0.750 Na
```

Which of them is least stable? Easy: #x.

#w
DFT (PBE) results for a geometry-optimized NaCa2PdN structure.

Fermi-level density of states   0.311 states/eV per atom
Mass density   3.5 Mg/m³
SG   P4/mmm, No. 123
Spin magnetization   0.000 μB per atom

```
NaCa2PdN
1.0
-3.589 -1.601 -2.765
3.141 -1.006 -3.494
0.563 -4.252 1.731
Ca Na N Pd
2 1 1 1
direct
0.500 0.000 0.000 Ca
0.000 0.500 0.000 Ca
0.000 0.000 0.500 Na
0.000 0.000 0.000 N
0.500 0.500 0.500 Pd
```

#x
DFT (PBE) results for a geometry-optimized NaCa2PdN structure.

Fermi-level density of states   0.373 states/eV per atom
Mass density   3.5 Mg/m³
SG   P4/mmm, No. 123
Spin magnetization   0.000 μB per atom

```
NaCa2PdN
1.0
4.961 0.000 0.000
0.000 4.961 0.000
0.000 0.000 4.260
Ca Pd N Na
2 1 1 1
direct
0.500 0.000 0.000 Ca
0.000 0.500 0.000 Ca
0.000 0.000 0.500 Pd
0.000 0.000 0.000 N
0.500 0.500 0.500 Na
```

Which of them is least stable? Easy: #x.

#w
DFT (PBE) results for a geometry-optimized NaCaSeN2 structure.

Fermi-level density of states   0.709 states/eV per atom
Mass density   2.2 Mg/m³
SG   P4/mmm, No. 123
Spin magnetization   0.999 μB per atom

```
NaCaSeN2
1.0
4.721 0.000 0.000
0.000 4.721 0.000
0.000 0.000 5.782
Se N Na Ca
1 2 1 1
direct
0.000 0.000 0.500 Se
0.000 0.500 0.000 N
0.500 0.000 0.000 N
0.500 0.500 0.500 Na
0.000 0.000 0.000 Ca
```

#x
DFT (PBE) results for a geometry-optimized NaCaSeN2 structure.

Fermi-level density of states   0.281 states/eV per atom
Mass density   2.6 Mg/m³
SG   P4/mmm, No. 123
Spin magnetization   1.000 μB per atom

```
NaCaSeN2
1.0
-1.339 4.178 -0.672
-4.224 -1.361 -0.043
-0.303 0.769 5.386
Se Ca Na N
1 1 1 2
direct
0.000 0.000 0.500 Se
0.500 0.500 0.500 Ca
0.000 0.000 0.000 Na
0.500 0.000 0.000 N
0.000 0.500 0.000 N
```

Which of them is least stable? Easy: #x.

#w
DFT (PBE) results for a geometry-optimized NaCaSe2N structure.

Fermi-level density of states   0.770 states/eV per atom
Mass density   3.2 Mg/m³
SG   P4/mmm, No. 123
Spin magnetization   0.629 μB per atom

```
NaCaSe2N
1.0
5.255 0.000 0.000
0.000 5.255 0.000
0.000 0.000 4.422
N Na Se Ca
1 1 2 1
direct
0.000 0.000 0.500 N
0.000 0.000 0.000 Na
0.000 0.500 0.000 Se
0.500 0.000 0.000 Se
0.500 0.500 0.500 Ca
```

#x
DFT (PBE) results for a geometry-optimized NaCaSe2N structure.

Fermi-level density of states   0.864 states/eV per atom
Mass density   2.6 Mg/m³
SG   P4/mmm, No. 123
Spin magnetization   0.708 μB per atom

```
NaCaSe2N
1.0
-4.488 1.045 3.187
-1.954 -5.142 -1.066
2.303 -1.661 3.788
Se N Ca Na
2 1 1 1
direct
0.000 0.500 0.000 Se
0.500 0.000 0.000 Se
0.000 0.000 0.500 N
0.000 0.000 0.000 Ca
0.500 0.500 0.500 Na
```

Which of them is least stable? Easy: #w.

#w
DFT (PBE) results for a geometry-optimized NaCaTe2N structure.

Fermi-level density of states   1.175 states/eV per atom
Mass density   3.2 Mg/m³
SG   P4/mmm, No. 123
Spin magnetization   0.577 μB per atom

```
NaCaTe2N
1.0
-2.655 4.970 2.207
-1.466 -3.019 5.036
4.017 1.284 1.939
Te N Na Ca
2 1 1 1
direct
0.500 0.000 0.000 Te
0.000 0.500 0.000 Te
0.000 0.000 0.500 N
0.500 0.500 0.500 Na
0.000 0.000 0.000 Ca
```

#x
DFT (PBE) results for a geometry-optimized NaCaTe2N structure.

Fermi-level density of states   0.748 states/eV per atom
Mass density   3.8 Mg/m³
SG   P4/mmm, No. 123
Spin magnetization   0.588 μB per atom

```
NaCaTe2N
1.0
5.676 0.000 0.000
0.000 5.676 0.000
0.000 0.000 4.482
Ca Te Na N
1 2 1 1
direct
0.500 0.500 0.500 Ca
0.000 0.500 0.000 Te
0.500 0.000 0.000 Te
0.000 0.000 0.000 Na
0.000 0.000 0.500 N
```

Which of them is least stable? Easy: #x.

#w
DFT (PBE) results for a geometry-optimized Ca3NbN structure.

Fermi-level density of states   0.739 states/eV per atom
Mass density   3.1 Mg/m³
SG   Pm-3m, No. 221
Spin magnetization   0.785 μB per atom

```
Ca3NbN
1.0
4.952 0.000 0.000
0.000 4.952 0.000
0.000 0.000 4.952
Ca N Nb
3 1 1
direct
0.500 0.000 0.000 Ca
0.000 0.500 0.000 Ca
0.000 0.000 0.500 Ca
0.000 0.000 0.000 N
0.500 0.500 0.500 Nb
```

#x
DFT (PBE) results for a geometry-optimized Ca3NbN structure.

Fermi-level density of states   1.091 states/eV per atom
Mass density   2.2 Mg/m³
SG   Pm-3m, No. 221
Spin magnetization   0.497 μB per atom

```
Ca3NbN
1.0
-3.048 -4.469 -1.222
4.529 -3.182 0.344
-0.978 -0.809 5.398
Ca Nb N
3 1 1
direct
0.000 0.000 0.500 Ca
0.000 0.500 0.000 Ca
0.500 0.000 0.000 Ca
0.000 0.000 0.000 Nb
0.500 0.500 0.500 N
```

Which of them is least stable? Easy: #x.

#w
DFT (PBE) results for a geometry-optimized CaNbSeN2 structure.

Fermi-level density of states   1.485 states/eV per atom
Mass density   4.4 Mg/m³
SG   P4/mmm, No. 123
Spin magnetization   0.000 μB per atom

```
CaNbSeN2
1.0
-3.123 0.444 2.668
-2.698 -0.789 -3.027
0.236 -5.155 1.134
N Ca Nb Se
2 1 1 1
direct
0.000 0.500 0.000 N
0.500 0.000 0.000 N
0.000 0.000 0.000 Ca
0.500 0.500 0.500 Nb
0.000 0.000 0.500 Se
```

#x
DFT (PBE) results for a geometry-optimized CaNbSeN2 structure.

Fermi-level density of states   0.373 states/eV per atom
Mass density   4.4 Mg/m³
SG   P4/mmm, No. 123
Spin magnetization   0.078 μB per atom

```
CaNbSeN2
1.0
4.088 0.000 0.000
0.000 4.088 0.000
0.000 0.000 5.385
N Se Ca Nb
2 1 1 1
direct
0.000 0.500 0.000 N
0.500 0.000 0.000 N
0.000 0.000 0.500 Se
0.500 0.500 0.500 Ca
0.000 0.000 0.000 Nb
```

Which of them is least stable? Easy: #w.

#w
DFT (PBE) results for a geometry-optimized CaNbSe2N structure.

Fermi-level density of states   0.317 states/eV per atom
Mass density   4.7 Mg/m³
SG   P4/mmm, No. 123
Spin magnetization   0.000 μB per atom

```
CaNbSe2N
1.0
-5.073 -0.611 1.107
1.264 -2.486 4.422
0.007 3.448 1.937
Se Ca N Nb
2 1 1 1
direct
0.000 0.500 0.000 Se
0.500 0.000 0.000 Se
0.500 0.500 0.500 Ca
0.000 0.000 0.500 N
0.000 0.000 0.000 Nb
```

#x
DFT (PBE) results for a geometry-optimized CaNbSe2N structure.

Fermi-level density of states   1.090 states/eV per atom
Mass density   4.6 Mg/m³
SG   P4/mmm, No. 123
Spin magnetization   0.001 μB per atom

```
CaNbSe2N
1.0
5.242 0.000 0.000
0.000 5.242 0.000
0.000 0.000 3.980
Se N Nb Ca
2 1 1 1
direct
0.000 0.500 0.000 Se
0.500 0.000 0.000 Se
0.000 0.000 0.500 N
0.500 0.500 0.500 Nb
0.000 0.000 0.000 Ca
```

Which of them is least stable? Easy: #x.

#w
DFT (PBE) results for a geometry-optimized CaNbTeN2 structure.

Fermi-level density of states   0.689 states/eV per atom
Mass density   4.2 Mg/m³
SG   P4/mmm, No. 123
Spin magnetization   0.200 μB per atom

```
CaNbTeN2
1.0
-0.097 1.897 -3.951
2.841 -2.982 -1.501
-4.551 -3.538 -1.587
Nb N Ca Te
1 2 1 1
direct
0.500 0.500 0.500 Nb
0.000 0.500 0.000 N
0.500 0.000 0.000 N
0.000 0.000 0.000 Ca
0.000 0.000 0.500 Te
```

#x
DFT (PBE) results for a geometry-optimized CaNbTeN2 structure.

Fermi-level density of states   0.215 states/eV per atom
Mass density   4.8 Mg/m³
SG   P4/mmm, No. 123
Spin magnetization   0.167 μB per atom

```
CaNbTeN2
1.0
-1.249 -0.835 3.888
2.529 -3.312 0.101
4.248 3.306 2.074
N Nb Te Ca
2 1 1 1
direct
0.500 0.000 0.000 N
0.000 0.500 0.000 N
0.000 0.000 0.000 Nb
0.000 0.000 0.500 Te
0.500 0.500 0.500 Ca
```

Which of them is least stable? Easy: #w.

#w
DFT (PBE) results for a geometry-optimized CaNi3N structure.

Fermi-level density of states   1.076 states/eV per atom
Mass density   6.2 Mg/m³
SG   Pm-3m, No. 221
Spin magnetization   0.112 μB per atom

```
CaNi3N
1.0
-1.401 0.491 -3.655
-3.079 -2.308 0.871
-2.030 3.162 1.203
Ni N Ca
3 1 1
direct
0.000 0.000 0.500 Ni
0.000 0.500 0.000 Ni
0.500 0.000 0.000 Ni
0.000 0.000 0.000 N
0.500 0.500 0.500 Ca
```

#x
DFT (PBE) results for a geometry-optimized CaNi3N structure.

Fermi-level density of states   1.492 states/eV per atom
Mass density   3.9 Mg/m³
SG   Pm-3m, No. 221
Spin magnetization   0.556 μB per atom

```
CaNi3N
1.0
-1.317 4.226 -1.325
0.856 -1.114 -4.402
-4.346 -1.500 -0.465
Ca Ni N
1 3 1
direct
0.000 0.000 0.000 Ca
0.000 0.500 0.000 Ni
0.500 0.000 0.000 Ni
0.000 0.000 0.500 Ni
0.500 0.500 0.500 N
```

Which of them is least stable? Easy: #x.

#w
DFT (PBE) results for a geometry-optimized CaNi2PtN structure.

Fermi-level density of states   0.814 states/eV per atom
Mass density   8.9 Mg/m³
SG   P4/mmm, No. 123
Spin magnetization   0.000 μB per atom

```
CaNi2PtN
1.0
-0.835 -3.462 -1.397
4.534 -0.691 -0.997
0.530 -1.526 3.467
Ni N Pt Ca
2 1 1 1
direct
0.000 0.000 0.500 Ni
0.500 0.000 0.000 Ni
0.000 0.000 0.000 N
0.500 0.500 0.500 Pt
0.000 0.500 0.000 Ca
```

#x
DFT (PBE) results for a geometry-optimized CaNi2PtN structure.

Fermi-level density of states   1.173 states/eV per atom
Mass density   5.4 Mg/m³
SG   P4/mmm, No. 123
Spin magnetization   0.605 μB per atom

```
CaNi2PtN
1.0
-2.622 2.408 -3.168
-0.109 -4.017 -2.963
-3.978 -1.487 2.162
Ni Ca Pt N
2 1 1 1
direct
0.500 0.000 0.000 Ni
0.000 0.000 0.500 Ni
0.000 0.000 0.000 Ca
0.000 0.500 0.000 Pt
0.500 0.500 0.500 N
```

Which of them is least stable? Easy: #x.

#w
DFT (PBE) results for a geometry-optimized Ca2NiRhN structure.

Fermi-level density of states   0.985 states/eV per atom
Mass density   4.8 Mg/m³
SG   P4/mmm, No. 123
Spin magnetization   0.002 μB per atom

```
Ca2NiRhN
1.0
-4.960 -0.728 -0.288
0.485 -4.307 2.535
-0.427 1.722 3.007
N Ni Ca Rh
1 1 2 1
direct
0.000 0.000 0.000 N
0.000 0.000 0.500 Ni
0.000 0.500 0.000 Ca
0.500 0.000 0.000 Ca
0.500 0.500 0.500 Rh
```

#x
DFT (PBE) results for a geometry-optimized Ca2NiRhN structure.

Fermi-level density of states   0.638 states/eV per atom
Mass density   4.6 Mg/m³
SG   P4/mmm, No. 123
Spin magnetization   0.119 μB per atom

```
Ca2NiRhN
1.0
4.943 0.000 0.000
0.000 4.943 0.000
0.000 0.000 3.791
Ni Rh Ca N
1 1 2 1
direct
0.500 0.500 0.500 Ni
0.000 0.000 0.500 Rh
0.000 0.500 0.000 Ca
0.500 0.000 0.000 Ca
0.000 0.000 0.000 N
```

Which of them is least stable? Easy: #x.

#w
DFT (PBE) results for a geometry-optimized Ca3NO structure.

Fermi-level density of states   0.334 states/eV per atom
Mass density   2.7 Mg/m³
SG   R32, No. 155
Spin magnetization   0.000 μB per atom

```
Ca3NO
1.0
5.949 0.000 0.000
2.974 5.152 0.000
2.974 1.717 6.096
Ca O N
6 2 2
direct
0.922 0.552 0.252 Ca
0.274 0.922 0.252 Ca
0.552 0.274 0.252 Ca
0.726 0.448 0.748 Ca
0.448 0.078 0.748 Ca
0.078 0.726 0.748 Ca
0.858 0.858 0.426 O
0.142 0.142 0.574 O
0.667 0.667 0.999 N
0.333 0.333 0.001 N
```

#x
DFT (PBE) results for a geometry-optimized Ca3NO structure.

Fermi-level density of states   0.288 states/eV per atom
Mass density   2.4 Mg/m³
SG   Pm-3m, No. 221
Spin magnetization   0.000 μB per atom

```
Ca3NO
1.0
-3.110 1.972 -2.926
-3.497 -2.243 2.205
-0.471 3.633 2.949
O Ca N
1 3 1
direct
0.500 0.500 0.500 O
0.500 0.000 0.000 Ca
0.000 0.000 0.500 Ca
0.000 0.500 0.000 Ca
0.000 0.000 0.000 N
```

Which of them is least stable? Easy: #x.